Below is crystalline Mn22GeC6 at its relaxed geometry, with properties calculated at the PBE-GGA level.

## Properties
SG   Fm-3m, No. 225
E_form   -203.6 kJ/mol of formula units
Magnetic moment   12.27 μB per formula unit
Fermi-level density of states   1.086 states/eV per atom

Unit cell a=7.374 b=7.374 c=7.374 alpha=60.00 beta=60.00 gamma=60.00
Sites, in units of the cell vectors:
Mn 0.000 0.000 0.341
Mn 0.000 0.000 0.659
Mn 0.000 0.341 0.000
Mn 0.000 0.341 0.659
Mn 0.000 0.659 0.000
Mn 0.000 0.659 0.341
Mn 0.147 0.618 0.618
Mn 0.250 0.250 0.250
Mn 0.341 0.000 0.000
Mn 0.341 0.000 0.659
Mn 0.341 0.659 0.000
Mn 0.382 0.382 0.382
Mn 0.382 0.382 0.853
Mn 0.382 0.853 0.382
Mn 0.618 0.147 0.618
Mn 0.618 0.618 0.147
Mn 0.618 0.618 0.618
Mn 0.659 0.000 0.000
Mn 0.659 0.000 0.341
Mn 0.659 0.341 0.000
Mn 0.750 0.750 0.750
Mn 0.853 0.382 0.382
Ge 0.000 0.000 0.000
C 0.280 0.280 0.720
C 0.280 0.720 0.280
C 0.280 0.720 0.720
C 0.720 0.280 0.280
C 0.720 0.280 0.720
C 0.720 0.720 0.280